The following is a GGA+U calculation of InCoNF2 after structural relaxation, from Alexandria.

total DFT energy (no corrections) = -4.3317 eV per atom
volume = 16.0 A^3/atom
space group = P4/mmm, No. 123

Cell and atoms, written as extended XYZ:
```
5
Lattice="4.2669 0.0000 0.0000 0.0000 4.2669 0.0000 0.0000 0.0000 4.3888" Properties=species:S:1:pos:R:3 pbc="T T T"
In 0.0000 0.0000 0.0000
N 0.0000 0.0000 2.1944
F 0.0000 2.1334 0.0000
F 2.1334 0.0000 0.0000
Co 2.1334 2.1334 2.1944
```